[1]
# B2Rh2Pb, relaxed, DFT PBE
# N(E_F) in states/eV/atom: 0.564
# Formation energy in eV per formula unit: -0.2
data_B2Rh2Pb
_chemical_formula_sum 'B4 Rh4 Pb2'
_space_group_name_H-M_alt 'I 4/m m m'
_space_group_IT_number 139
_space_group_name_Hall '-I 4 2'
_cell_length_a 3.0678
_cell_length_b 3.0678
_cell_length_c 14.8880
_cell_angle_alpha 90.00
_cell_angle_beta 90.00
_cell_angle_gamma 90.00
loop_
_atom_site_label
_atom_site_fract_x
_atom_site_fract_y
_atom_site_fract_z
_atom_site_occupancy
B1 0.0000 0.5000 0.2500 1
Rh1 0.0000 0.0000 0.1511 1
Pb1 0.0000 0.0000 0.5000 1


[2]
# CrNi2, relaxed, DFT PBE
# N(E_F) in states/eV/atom: 1.507
# Formation energy in eV per formula unit: 0.1
data_CrNi2
_chemical_formula_sum 'Cr4 Ni8'
_space_group_name_H-M_alt 'C 1 2/m 1'
_space_group_IT_number 12
_cell_length_a 9.2676
_cell_length_b 2.4944
_cell_length_c 5.9091
_cell_angle_alpha 90.00
_cell_angle_beta 104.62
_cell_angle_gamma 90.00
loop_
_space_group_symop_operation_xyz
'x,y,z'
'-x,-y,-z'
'-x,y,-z'
'x,-y,z'
'x+1/2,y+1/2,z'
'-x+1/2,-y+1/2,-z'
'-x+1/2,y+1/2,-z'
'x+1/2,-y+1/2,z'
loop_
_atom_site_label
_atom_site_fract_x
_atom_site_fract_y
_atom_site_fract_z
_atom_site_occupancy
Cr1 0.0241 0.0000 0.3091 1
Ni1 0.1373 0.5000 0.0302 1
Ni2 0.1940 0.5000 0.6366 1


[3]
# Tl3SnH, relaxed, DFT PBE
# Calculated total energy in eV per cell: -13.45
# N(E_F) in states/eV/atom: 0.428
data_Tl3SnH
_chemical_formula_sum 'Tl3 Sn1 H1'
_space_group_name_H-M_alt 'P m -3 m'
_space_group_IT_number 221
_space_group_name_Hall '-P 4 2 3'
_cell_length_a 4.9989
_cell_length_b 4.9989
_cell_length_c 4.9989
_cell_angle_alpha 90.00
_cell_angle_beta 90.00
_cell_angle_gamma 90.00
loop_
_atom_site_label
_atom_site_fract_x
_atom_site_fract_y
_atom_site_fract_z
_atom_site_occupancy
Tl1 0.0000 0.0000 0.5000 1
Sn1 0.5000 0.5000 0.5000 1
H1 0.0000 0.0000 0.0000 1


[4]
# Zr2PdPb, relaxed, DFT PBE
# N(E_F) in states/eV/atom: 0.812
# Formation energy in eV per formula unit: -1.4
data_Zr2PdPb
_chemical_formula_sum 'Zr2 Pd1 Pb1'
_space_group_name_H-M_alt 'P 4/m m m'
_space_group_IT_number 123
_space_group_name_Hall '-P 4 2'
_cell_length_a 3.1993
_cell_length_b 3.1993
_cell_length_c 8.2975
_cell_angle_alpha 90.00
_cell_angle_beta 90.00
_cell_angle_gamma 90.00
loop_
_atom_site_label
_atom_site_fract_x
_atom_site_fract_y
_atom_site_fract_z
_atom_site_occupancy
Zr1 0.0000 0.0000 0.2202 1
Pd1 0.5000 0.5000 0.0000 1
Pb1 0.5000 0.5000 0.5000 1


[5]
# La2Si2Te, relaxed, DFT PBE
# N(E_F) in states/eV/atom: 0.387
# Formation energy without anion corrections in eV per atom: -0.79
data_La2Si2Te
_chemical_formula_sum 'La4 Si4 Te2'
_space_group_name_H-M_alt 'P 4/m b m'
_space_group_IT_number 127
_space_group_name_Hall '-P 4 2ab'
_cell_length_a 8.0857
_cell_length_b 8.0857
_cell_length_c 4.0986
_cell_angle_alpha 90.00
_cell_angle_beta 90.00
_cell_angle_gamma 90.00
loop_
_atom_site_label
_atom_site_fract_x
_atom_site_fract_y
_atom_site_fract_z
_atom_site_occupancy
La1 0.1903 0.3097 0.0000 1
Si1 0.0994 0.5994 0.5000 1
Te1 0.0000 0.0000 0.5000 1